Re2Br2O | the Alexandria database | PBE | optimized geometry; offset from the most stable computed form = 377 meV per atom; calculated total energy = -49.49 eV per cell; crystal system = tetragonal; size of the total moment = 1.50 Bohr magnetons per cell
1.0
8.0353 0.0000 0.0000
0.0000 8.0353 0.0000
0.0000 0.0000 2.9916
Re O Br
4 2 4
Cartesian
0.7996 4.8172 1.4958 Re
4.8172 7.2357 1.4958 Re
7.2357 3.2181 1.4958 Re
3.2181 0.7996 1.4958 Re
0.0000 0.0000 0.0000 O
4.0177 4.0177 0.0000 O
2.3776 6.3953 0.0000 Br
6.3953 5.6577 0.0000 Br
5.6577 1.6400 0.0000 Br
1.6400 2.3776 0.0000 Br